Record 1
Compound: TbCo6
Source: Alexandria via LeMat-Bulk
Functional: GGA-PBE
Structure: optimized geometry

It has space group Pnma (No. 62), with a = 7.827 Å, b = 4.821 Å, c = 9.816 Å, α = 90.00°, β = 90.00° and γ = 90.00°. The distinct sites, in fractional coordinates, are Tb at (0.239, 0.250, 0.059), Co at (0.066, 0.750, 0.092), Co at (0.069, 0.010, 0.308), Co at (0.091, 0.250, 0.523), Co at (0.141, 0.750, 0.853) and Co at (0.184, 0.250, 0.756).

The calculation puts the density of states at the Fermi level at 1.211 states/eV/atom. Its raw total energy is -190.75 eV/cell.

=====

Record 2
Compound: TbCo13
Source: Alexandria via LeMat-Bulk
Functional: GGA-PBE
Structure: optimized geometry

It has space group Fm-3c (No. 226), with a = 11.190 Å, b = 11.190 Å, c = 11.190 Å, α = 90.00°, β = 90.00° and γ = 90.00°. The distinct sites, in fractional coordinates, are Tb at (0.250, 0.250, 0.250), Co at (0.000, 0.000, 0.000) and Co at (0.000, 0.119, 0.178).

The calculation puts the density of states at the Fermi level at 1.185 states/eV/atom. Its raw total energy is -780.81 eV/cell.

=====

Record 3
Compound: Tb3Co
Source: Alexandria via LeMat-Bulk
Functional: GGA-PBE
Structure: optimized geometry

It has space group Imm2 (No. 44), with a = 3.550 Å, b = 10.755 Å, c = 5.341 Å, α = 90.00°, β = 90.00° and γ = 90.00°. The distinct sites, in fractional coordinates, are Tb at (0.000, 0.000, 0.000), Tb at (0.000, 0.192, 0.501) and Co at (0.000, 0.500, 0.005).

The calculation puts the density of states at the Fermi level at 1.103 states/eV/atom. Its raw total energy is -42.40 eV/cell.

=====

Record 4
Compound: TbCo5
Source: Alexandria via LeMat-Bulk
Functional: GGA-PBE
Structure: optimized geometry

It has space group P6/mmm (No. 191), with a = 4.9300 Å, b = 4.9300 Å, c = 3.9410 Å, α = 90.00°, β = 90.00° and γ = 120.00°. The distinct sites, in fractional coordinates, are Tb at (0.0000, 0.0000, 0.0000), Co at (0.0000, 0.5000, 0.5000) and Co at (0.3333, 0.6667, 0.0000).

The calculation puts the density of states at the Fermi level at 1.562 states/eV/atom. Its raw total energy is -40.79 eV/cell.

=====

Record 5
Compound: TbCo6
Source: Alexandria via LeMat-Bulk
Functional: GGA-PBE
Structure: optimized geometry

It has space group Im-3m (No. 229), with a = 6.025 Å, b = 6.025 Å, c = 6.025 Å, α = 90.00°, β = 90.00° and γ = 90.00°. The distinct sites, in fractional coordinates, are Tb at (0.000, 0.000, 0.000) and Co at (0.000, 0.250, 0.500).

The calculation puts the density of states at the Fermi level at 1.723 states/eV/atom. Its raw total energy is -87.45 eV/cell.

=====

Record 6
Compound: Tb2CoTc
Source: Alexandria via LeMat-Bulk
Functional: GGA-PBE
Structure: optimized geometry

It has space group R-3m (No. 166, hexagonal axes), with a = 3.1997 Å, b = 3.1997 Å, c = 28.2267 Å, α = 90.00°, β = 90.00° and γ = 120.00°. The distinct sites, in fractional coordinates, are Tb at (0.0000, 0.0000, 0.0955), Co at (0.0000, 0.0000, 0.5000) and Tc at (0.0000, 0.0000, 0.0000).

The calculation puts the density of states at the Fermi level at 1.106 states/eV/atom. Its raw total energy is -71.64 eV/cell.